Material: Pm8HoTm2
Method: DFT, PBE-GGA
State: optimized geometry

The calculation puts the total energy at -100.56 eV/cell. For the magnetization, the calculation gives 0.00 μB/cell.

The structure belongs to space group Immm (No. 71); the cell edges are 5.646, 8.236 and 15.992 Å and the angles 90.00°, 90.00° and 90.00°. The distinct sites, in fractional coordinates, are Pm at (0.000, 0.000, 0.164), Pm at (0.000, 0.204, 0.364), Pm at (0.000, 0.294, 0.000), Ho at (0.000, 0.500, 0.500) and Tm at (0.000, 0.500, 0.201).


Material: Pm6Ho4Tm
Method: DFT, PBE-GGA
State: optimized geometry

The calculation puts the total energy at -95.93 eV/cell. For the magnetization, the calculation gives 0.00 μB/cell.

The structure belongs to space group I-42m (No. 121); the cell edges are 6.655, 6.655 and 16.999 Å and the angles 90.00°, 90.00° and 90.00°. The distinct sites, in fractional coordinates, are Pm at (0.000, 0.500, 0.000), Pm at (0.189, 0.189, 0.176), Ho at (0.179, 0.179, 0.375) and Tm at (0.000, 0.000, 0.000).


Material: Pm2HoTm7
Method: DFT, PBE-GGA
State: optimized geometry

The calculation puts the total energy at -45.15 eV/cell. For the magnetization, the calculation gives 0.00 μB/cell.

The structure belongs to space group P-1 (No. 2); the cell edges are 6.098, 7.038 and 7.881 Å and the angles 77.11°, 74.99° and 73.34°. The distinct sites, in fractional coordinates, are Pm at (0.201, 0.299, 0.101), Ho at (0.000, 0.000, 0.500), Tm at (0.000, 0.500, 0.500), Tm at (0.199, 0.800, 0.101), Tm at (0.399, 0.101, 0.698) and Tm at (0.400, 0.600, 0.698).